Record 1
# BeP2HCl GGA-PBE optimized geometry
data_BeP2HCl
_chemical_formula_sum 'Be1 P2 H1 Cl1'
_cell_length_a 3.447
_cell_length_b 3.447
_cell_length_c 6.341
_cell_angle_alpha 90.00
_cell_angle_beta 90.00
_cell_angle_gamma 90.00
_space_group_name_H-M_alt 'P 4/m m m'
_space_group_IT_number 123
_space_group_name_Hall '-P 4 2'
loop_
_atom_site_label
_atom_site_type_symbol
_atom_site_fract_x
_atom_site_fract_y
_atom_site_fract_z
Be1 Be 0.000 0.000 0.000
P1 P 0.000 0.500 0.500
H1 H 0.500 0.500 0.500
Cl1 Cl 0.500 0.500 0.000
# Fermi-level density of states (states/eV/f.u.): 1.387
# E above lowest polymorph (meV/atom): 0.0

---

Record 2
# BeHPdCl2 GGA-PBE optimized geometry
data_BeHPdCl2
_chemical_formula_sum 'Be1 H1 Pd1 Cl2'
_cell_length_a 4.919
_cell_length_b 4.919
_cell_length_c 4.333
_cell_angle_alpha 90.00
_cell_angle_beta 90.00
_cell_angle_gamma 90.00
_space_group_name_H-M_alt 'P 4/m m m'
_space_group_IT_number 123
_space_group_name_Hall '-P 4 2'
loop_
_atom_site_label
_atom_site_type_symbol
_atom_site_fract_x
_atom_site_fract_y
_atom_site_fract_z
Be1 Be 0.000 0.000 0.000
H1 H 0.500 0.500 0.000
Pd1 Pd 0.000 0.000 0.500
Cl1 Cl 0.000 0.500 0.500
# Raw total energy (eV per atom): -2.68
# Fermi-level density of states (states/eV/f.u.): 1.469

---

Record 3
# Rb2BeHCl6 GGA-PBE optimized geometry
data_Rb2BeHCl6
_chemical_formula_sum 'Rb4 Be2 H2 Cl12'
_cell_length_a 7.292
_cell_length_b 7.292
_cell_length_c 9.094
_cell_angle_alpha 90.00
_cell_angle_beta 90.00
_cell_angle_gamma 90.00
_space_group_name_H-M_alt 'I 4/m m m'
_space_group_IT_number 139
_space_group_name_Hall '-I 4 2'
loop_
_atom_site_label
_atom_site_type_symbol
_atom_site_fract_x
_atom_site_fract_y
_atom_site_fract_z
Rb1 Rb 0.000 0.500 0.250
Be1 Be 0.000 0.000 0.000
H1 H 0.000 0.000 0.500
Cl1 Cl 0.000 0.000 0.200
Cl2 Cl 0.207 0.207 0.500
# Raw total energy (eV per atom): -2.92
# Fermi-level density of states (states/eV/f.u.): 9.006

---

Record 4
# BeHS2Cl GGA-PBE optimized geometry
data_BeHS2Cl
_chemical_formula_sum 'Be1 H1 S2 Cl1'
_cell_length_a 4.252
_cell_length_b 4.252
_cell_length_c 4.890
_cell_angle_alpha 90.00
_cell_angle_beta 90.00
_cell_angle_gamma 90.00
_space_group_name_H-M_alt 'P 4/m m m'
_space_group_IT_number 123
_space_group_name_Hall '-P 4 2'
loop_
_atom_site_label
_atom_site_type_symbol
_atom_site_fract_x
_atom_site_fract_y
_atom_site_fract_z
Be1 Be 0.000 0.000 0.000
H1 H 0.500 0.500 0.500
S1 S 0.000 0.500 0.000
Cl1 Cl 0.000 0.000 0.500
# Fermi-level density of states (states/eV/f.u.): 3.906
# E above lowest polymorph (meV/atom): 75.8

---

What is the Fermi-level density of states in the third record? 9.006 states/eV/f.u.

---

Repeat the first record exactly.
# BeP2HCl GGA-PBE optimized geometry
data_BeP2HCl
_chemical_formula_sum 'Be1 P2 H1 Cl1'
_cell_length_a 3.447
_cell_length_b 3.447
_cell_length_c 6.341
_cell_angle_alpha 90.00
_cell_angle_beta 90.00
_cell_angle_gamma 90.00
_space_group_name_H-M_alt 'P 4/m m m'
_space_group_IT_number 123
_space_group_name_Hall '-P 4 2'
loop_
_atom_site_label
_atom_site_type_symbol
_atom_site_fract_x
_atom_site_fract_y
_atom_site_fract_z
Be1 Be 0.000 0.000 0.000
P1 P 0.000 0.500 0.500
H1 H 0.500 0.500 0.500
Cl1 Cl 0.500 0.500 0.000
# Fermi-level density of states (states/eV/f.u.): 1.387
# E above lowest polymorph (meV/atom): 0.0

---

What did the second record say?
# BeHPdCl2 GGA-PBE optimized geometry
data_BeHPdCl2
_chemical_formula_sum 'Be1 H1 Pd1 Cl2'
_cell_length_a 4.919
_cell_length_b 4.919
_cell_length_c 4.333
_cell_angle_alpha 90.00
_cell_angle_beta 90.00
_cell_angle_gamma 90.00
_space_group_name_H-M_alt 'P 4/m m m'
_space_group_IT_number 123
_space_group_name_Hall '-P 4 2'
loop_
_atom_site_label
_atom_site_type_symbol
_atom_site_fract_x
_atom_site_fract_y
_atom_site_fract_z
Be1 Be 0.000 0.000 0.000
H1 H 0.500 0.500 0.000
Pd1 Pd 0.000 0.000 0.500
Cl1 Cl 0.000 0.500 0.500
# Raw total energy (eV per atom): -2.68
# Fermi-level density of states (states/eV/f.u.): 1.469

---

Copy entry 4 word for word.
# BeHS2Cl GGA-PBE optimized geometry
data_BeHS2Cl
_chemical_formula_sum 'Be1 H1 S2 Cl1'
_cell_length_a 4.252
_cell_length_b 4.252
_cell_length_c 4.890
_cell_angle_alpha 90.00
_cell_angle_beta 90.00
_cell_angle_gamma 90.00
_space_group_name_H-M_alt 'P 4/m m m'
_space_group_IT_number 123
_space_group_name_Hall '-P 4 2'
loop_
_atom_site_label
_atom_site_type_symbol
_atom_site_fract_x
_atom_site_fract_y
_atom_site_fract_z
Be1 Be 0.000 0.000 0.000
H1 H 0.500 0.500 0.500
S1 S 0.000 0.500 0.000
Cl1 Cl 0.000 0.000 0.500
# Fermi-level density of states (states/eV/f.u.): 3.906
# E above lowest polymorph (meV/atom): 75.8